# Pa3As2S

A relaxed structure of Pa3As2S (PBE, Alexandria via LeMat-Bulk).

Unit cell a=13.413 b=12.787 c=6.970 alpha=79.60 beta=69.67 gamma=30.74
Fractional positions:
Pa 0.041 0.538 0.197
Pa 0.110 0.640 0.640
Pa 0.197 0.725 0.041
Pa 0.275 0.803 0.462
Pa 0.360 0.890 0.890
Pa 0.462 0.959 0.275
Pa 0.538 0.041 0.725
Pa 0.640 0.110 0.110
Pa 0.725 0.197 0.538
Pa 0.803 0.275 0.959
Pa 0.890 0.360 0.360
Pa 0.959 0.462 0.803
As 0.127 0.127 0.623
As 0.294 0.294 0.456
As 0.377 0.377 0.873
As 0.456 0.456 0.294
As 0.544 0.544 0.706
As 0.623 0.623 0.127
As 0.706 0.706 0.544
As 0.873 0.873 0.377
S 0.042 0.042 0.208
S 0.208 0.208 0.042
S 0.792 0.792 0.958
S 0.958 0.958 0.792

As for the symmetry: Fddd, No. 70. For the formation energy without anion corrections, the calculation gives -1.239 eV per atom. The magnetic moment comes out at 0.00 Bohr magnetons per cell.